Record 1
Li4TlAsPd2 after structural relaxation. Source: the Open Quantum Materials Database, functional PBE.

## Properties
final energy: -3.634 eV per atom

Cell: 4.3926 4.3926 6.3192 Å, 90.00 90.00 90.00°
Fractional coordinates of all 8 atoms:
Li: 0.0000 0.0000 0.0000
Li: 0.0000 0.5000 0.2279
Li: 0.5000 0.0000 0.7721
Li: 0.5000 0.5000 0.5000
Tl: 0.0000 0.0000 0.5000
As: 0.5000 0.5000 0.0000
Pd: 0.0000 0.5000 0.7805
Pd: 0.5000 0.0000 0.2195

***

Record 2
Li2YAs2Pd after structural relaxation. Source: the Open Quantum Materials Database, functional PBE.

## Properties
final energy: -4.977 eV per atom

Cell: 4.2343 4.2343 6.5706 Å, 90.00 90.00 120.00°
Fractional coordinates of all 6 atoms:
Li: 0.3333 0.6667 0.3523
Li: 0.6667 0.3333 0.6477
Y: 0.0000 0.0000 0.0000
As: 0.3333 0.6667 0.7489
As: 0.6667 0.3333 0.2511
Pd: 0.0000 0.0000 0.5000

***

Record 3
Li4ZnAsPd2 after structural relaxation. Source: the Open Quantum Materials Database, functional PBE.

## Properties
final energy: -3.521 eV per atom

Cell: 4.3264 4.3264 5.9395 Å, 90.00 90.00 90.00°
Fractional coordinates of all 8 atoms:
Li: 0.0000 0.0000 0.0000
Li: 0.0000 0.5000 0.2484
Li: 0.5000 0.0000 0.7516
Li: 0.5000 0.5000 0.5000
Zn: 0.0000 0.0000 0.5000
As: 0.5000 0.5000 0.0000
Pd: 0.0000 0.5000 0.7565
Pd: 0.5000 0.0000 0.2435

***

Record 4
LiZnAsPd after structural relaxation. Source: the Open Quantum Materials Database, functional PBE.

## Properties
energy above the lowest structure with this stoichiometry: 0 meV/atom

Cell: 4.3947 4.3947 4.3947 Å, 60.00 60.00 60.00°
Fractional coordinates of all 4 atoms:
Li: 0.0000 0.0000 0.0000
Zn: 0.7500 0.7500 0.7500
As: 0.2500 0.2500 0.2500
Pd: 0.5000 0.5000 0.5000

***

Q: Which formula does entry 2 have?
A: Li2YAs2Pd